(1)
Compound: BeAu2Se
Source: the Alexandria database
Functional: SCAN
Structure: PBEsol geometry

The value obtained for the electronic total energy is -1.49591 hartree per atom. As for the raw formation energy: -0.0194 eV per atom. As for the excess energy over the best structure of this formula in the dataset: 0.000 eV/atom.

The space group is P4/mmm (No. 123) and the conventional cell measures 2.767, 2.767 and 8.479 Å, with angles of 90.00, 90.00 and 90.00 degrees. The asymmetric unit holds Be at (0.000, 0.000, 0.000), Au at (0.500, 0.500, 0.183) and Se at (0.000, 0.000, 0.500).

---

(2)
Compound: BaAgIr2
Source: the Alexandria database
Functional: SCAN
Structure: PBEsol geometry

The value obtained for the electronic total energy is -1.92651 hartree per atom. The formation energy is 330 kJ/mol of formula units. As for the excess energy over the best structure of this formula in the dataset: 0.000 eV/atom.

The space group is Cmmm (No. 65) and the conventional cell measures 5.776, 9.112 and 2.938 Å, with angles of 90.00, 90.00 and 90.00 degrees. The asymmetric unit holds Ba at (0.000, 0.000, 0.000), Ag at (0.000, 0.500, 0.000) and Ir at (0.250, 0.250, 0.500).

---

(3)
Compound: YCrIn2
Source: the Alexandria database
Functional: SCAN
Structure: PBEsol geometry

The value obtained for the electronic total energy is -1.04017 hartree per atom. The formation energy is -21 kJ/mol of formula units.

The space group is P4mm (No. 99) and the conventional cell measures 3.384, 3.384 and 7.615 Å, with angles of 90.00, 90.00 and 90.00 degrees. The asymmetric unit holds Y at (0.000, 0.000, 0.000), Cr at (0.500, 0.500, 0.756), In at (0.000, 0.000, 0.565) and In at (0.500, 0.500, 0.300).

---

(4)
Compound: Zn2Cd2As
Source: the Alexandria database
Functional: SCAN
Structure: PBEsol geometry

The value obtained for the electronic total energy is -0.78415 hartree per atom. The formation energy is 131 kJ/mol of formula units.

The space group is I4/mmm (No. 139) and the conventional cell measures 3.929, 3.929 and 12.502 Å, with angles of 90.00, 90.00 and 90.00 degrees. The asymmetric unit holds Zn at (0.000, 0.000, 0.093), Cd at (0.000, 0.500, 0.250) and As at (0.000, 0.000, 0.500).

---

(5)
Compound: AsIrAu2
Source: the Alexandria database
Functional: SCAN
Structure: PBEsol geometry

The value obtained for the electronic total energy is -2.09293 hartree per atom. The formation energy is 173 kJ/mol of formula units.

The space group is Pmmm (No. 47) and the conventional cell measures 2.817, 4.079 and 5.696 Å, with angles of 90.00, 90.00 and 90.00 degrees. The asymmetric unit holds As at (0.000, 0.000, 0.000), Ir at (0.000, 0.000, 0.500) and Au at (0.500, 0.500, 0.255).

---

(6)
Compound: ZnGaIO2
Source: the Alexandria database
Functional: SCAN
Structure: PBEsol geometry

The value obtained for the electronic total energy is -0.59839 hartree per atom. As for the raw formation energy: -0.4699 eV per atom.

The space group is P4/mmm (No. 123) and the conventional cell measures 3.785, 3.785 and 6.011 Å, with angles of 90.00, 90.00 and 90.00 degrees. The asymmetric unit holds Zn at (0.000, 0.000, 0.000), Ga at (0.500, 0.500, 0.500), I at (0.500, 0.500, 0.000) and O at (0.000, 0.500, 0.500).

---

(7)
Compound: ScFeMo2
Source: the Alexandria database
Functional: SCAN
Structure: PBEsol geometry

The value obtained for the electronic total energy is -0.92976 hartree per atom. The formation energy is 90 kJ/mol of formula units. As for the excess energy over the best structure of this formula in the dataset: 0.107 eV/atom.

The space group is P2/m (No. 10) and the conventional cell measures 2.739, 4.437 and 4.999 Å, with angles of 90.00, 101.48 and 90.00 degrees. The asymmetric unit holds Sc at (0.000, 0.000, 0.000), Fe at (0.500, 0.000, 0.500) and Mo at (0.269, 0.500, 0.746).

---

(8)
Compound: LaZn2Pt
Source: the Alexandria database
Functional: SCAN
Structure: PBEsol geometry

The value obtained for the electronic total energy is -1.31429 hartree per atom. The formation energy is -263 kJ/mol of formula units.

The space group is P2/m (No. 10) and the conventional cell measures 3.833, 4.685 and 4.727 Å, with angles of 90.00, 98.71 and 90.00 degrees. The asymmetric unit holds La at (0.000, 0.000, 0.000), Zn at (0.433, 0.500, 0.737) and Pt at (0.500, 0.000, 0.500).

---

(9)
Compound: AgSb3Pt
Source: the Alexandria database
Functional: SCAN
Structure: PBEsol geometry

The value obtained for the electronic total energy is -1.54860 hartree per atom. As for the raw formation energy: 0.5289 eV per atom. As for the excess energy over the best structure of this formula in the dataset: 0.000 eV/atom.

The space group is Pm-3m (No. 221) and the conventional cell measures 5.205, 5.205 and 5.205 Å, with angles of 90.00, 90.00 and 90.00 degrees. The asymmetric unit holds Ag at (0.000, 0.000, 0.000), Sb at (0.000, 0.500, 0.500) and Pt at (0.500, 0.500, 0.500).

---

(10)
Compound: FeTcRu2
Source: the Alexandria database
Functional: SCAN
Structure: PBEsol geometry

The value obtained for the electronic total energy is -1.12393 hartree per atom. The formation energy is 49 kJ/mol of formula units. As for the excess energy over the best structure of this formula in the dataset: 0.000 eV/atom.

The space group is P2/m (No. 10) and the conventional cell measures 4.546, 2.630 and 4.561 Å, with angles of 90.00, 109.88 and 90.00 degrees. The asymmetric unit holds Fe at (0.000, 0.000, 0.000), Tc at (0.000, 0.500, 0.500), Ru at (0.500, 0.000, 0.500) and Ru at (0.500, 0.500, 0.000).

---

(11)
Compound: LiRu2
Source: the Alexandria database
Functional: SCAN
Structure: PBEsol geometry

The value obtained for the electronic total energy is -0.87647 hartree per atom. The formation energy is 48 kJ/mol of formula units.

The space group is Cmcm (No. 63) and the conventional cell measures 2.675, 14.314 and 4.271 Å, with angles of 90.00, 90.00 and 90.00 degrees. The asymmetric unit holds Li at (0.000, 0.222, 0.250), Ru at (0.000, 0.101, 0.750) and Ru at (0.000, 0.445, 0.750).

---

(12)
Compound: MnS
Source: the Alexandria database
Functional: SCAN
Structure: PBEsol geometry

The value obtained for the electronic total energy is -0.55181 hartree per atom. As for the raw formation energy: -1.0740 eV per atom.

The space group is P6_3mc (No. 186) and the conventional cell measures 3.9107, 3.9107 and 12.7106 Å, with angles of 90.00, 90.00 and 120.00 degrees. The asymmetric unit holds Mn at (0.0000, 0.0000, 0.0000), Mn at (0.3333, 0.6667, 0.2503), S at (0.0000, 0.0000, 0.1885) and S at (0.3333, 0.6667, 0.4387).

---

Please write out number 10 again, unchanged.
Compound: FeTcRu2
Source: the Alexandria database
Functional: SCAN
Structure: PBEsol geometry

The value obtained for the electronic total energy is -1.12393 hartree per atom. The formation energy is 49 kJ/mol of formula units. As for the excess energy over the best structure of this formula in the dataset: 0.000 eV/atom.

The space group is P2/m (No. 10) and the conventional cell measures 4.546, 2.630 and 4.561 Å, with angles of 90.00, 109.88 and 90.00 degrees. The asymmetric unit holds Fe at (0.000, 0.000, 0.000), Tc at (0.000, 0.500, 0.500), Ru at (0.500, 0.000, 0.500) and Ru at (0.500, 0.500, 0.000).

---

The lowest electronic total energy belongs to which entry? AsIrAu2

---

Please write out number 11 again, unchanged.
Compound: LiRu2
Source: the Alexandria database
Functional: SCAN
Structure: PBEsol geometry

The value obtained for the electronic total energy is -0.87647 hartree per atom. The formation energy is 48 kJ/mol of formula units.

The space group is Cmcm (No. 63) and the conventional cell measures 2.675, 14.314 and 4.271 Å, with angles of 90.00, 90.00 and 90.00 degrees. The asymmetric unit holds Li at (0.000, 0.222, 0.250), Ru at (0.000, 0.101, 0.750) and Ru at (0.000, 0.445, 0.750).

---

electronic total energy of number 8 (LaZn2Pt)? -1.31429 hartree per atom